## Li3Sm3MnS8 (PBE)

Data for a geometry-optimized Li3Sm3MnS8 structure.

a = 7.825 Å, b = 7.825 Å, c = 7.613 Å
α = 120.94°, β = 90.00°, γ = 120.00°
Site moments in Bohr magnetons follow the coordinates.
Atoms (fractional coordinates):
Li 0.000 0.000 0.000  0.00
Li 0.000 0.500 0.000  0.00
Li 0.500 0.500 0.000  0.00
Sm 0.500 0.000 0.500  0.01
Sm 0.500 0.500 0.500  0.01
Sm 0.000 0.500 0.500  0.01
Mn 0.000 0.000 0.500  3.05
S 0.247 0.495 0.242  0.01
S 0.753 0.505 0.758  0.01
S 0.777 0.554 0.266  -0.03
S 0.223 0.446 0.734  -0.03
S 0.777 0.989 0.266  -0.03
S 0.223 0.011 0.734  -0.03
S 0.212 0.989 0.266  -0.03
S 0.788 0.011 0.734  -0.03

## Properties
- Energy: -5.639 eV/atom
- Formation energy without anion corrections: -1.500 eV/atom
- Magnetization: 0.1994 μB per atom
- Space-group type: R-3m, No. 166